Arrangement w

# Ce2SmZr | Alexandria via LeMat-Bulk | PBE | optimized geometry
# * DOS at the Fermi energy: 31.78 states/eV per cell
data_Ce2SmZr
_cell_length_a 3.2429
_cell_length_b 3.2429
_cell_length_c 36.1878
_cell_angle_alpha 90.00
_cell_angle_beta 90.00
_cell_angle_gamma 120.00
_symmetry_space_group_name_H-M 'R -3 m'
_symmetry_Int_Tables_number 166
_symmetry_space_group_name_Hall '-R 3 2"'
loop_
_atom_site_label
_atom_site_type_symbol
_atom_site_fract_x
_atom_site_fract_y
_atom_site_fract_z
Ce1 Ce 0.0000 0.0000 0.0813
Sm1 Sm 0.0000 0.0000 0.5000
Zr1 Zr 0.0000 0.0000 0.0000

Arrangement x

# Ce2SmZr | Alexandria via LeMat-Bulk | PBE | optimized geometry
# * DOS at the Fermi energy: 10.26 states/eV per cell
data_Ce2SmZr
_cell_length_a 3.301
_cell_length_b 3.301
_cell_length_c 10.241
_cell_angle_alpha 90.00
_cell_angle_beta 90.00
_cell_angle_gamma 90.00
_symmetry_space_group_name_H-M 'P 4/m m m'
_symmetry_Int_Tables_number 123
_symmetry_space_group_name_Hall '-P 4 2'
loop_
_atom_site_label
_atom_site_type_symbol
_atom_site_fract_x
_atom_site_fract_y
_atom_site_fract_z
Ce1 Ce 0.000 0.000 0.235
Sm1 Sm 0.500 0.500 0.500
Zr1 Zr 0.500 0.500 0.000

Arrangement y

# Ce2SmZr | Alexandria via LeMat-Bulk | PBE | optimized geometry
# * DOS at the Fermi energy: 54.13 states/eV per cell
data_Ce2SmZr
_cell_length_a 7.695
_cell_length_b 7.695
_cell_length_c 7.695
_cell_angle_alpha 90.00
_cell_angle_beta 90.00
_cell_angle_gamma 90.00
_symmetry_space_group_name_H-M 'F m -3 m'
_symmetry_Int_Tables_number 225
_symmetry_space_group_name_Hall '-F 4 2 3'
loop_
_atom_site_label
_atom_site_type_symbol
_atom_site_fract_x
_atom_site_fract_y
_atom_site_fract_z
Ce1 Ce 0.250 0.250 0.250
Sm1 Sm 0.000 0.000 0.000
Zr1 Zr 0.000 0.000 0.500

Arrangement z

# Ce2SmZr | Alexandria via LeMat-Bulk | PBE | optimized geometry
# * DOS at the Fermi energy: 9.88 states/eV per cell
data_Ce2SmZr
_cell_length_a 4.704
_cell_length_b 4.704
_cell_length_c 5.037
_cell_angle_alpha 90.00
_cell_angle_beta 90.00
_cell_angle_gamma 90.00
_symmetry_space_group_name_H-M 'P 4/m m m'
_symmetry_Int_Tables_number 123
_symmetry_space_group_name_Hall '-P 4 2'
loop_
_atom_site_label
_atom_site_type_symbol
_atom_site_fract_x
_atom_site_fract_y
_atom_site_fract_z
Ce1 Ce 0.000 0.500 0.000
Sm1 Sm 0.000 0.000 0.500
Zr1 Zr 0.500 0.500 0.500

It comes down to arrangement x, which is 3.0 kJ/mol of atoms more stable than the next structure.

Arrangement w

# CeSn4 | Alexandria via LeMat-Bulk | PBE | optimized geometry
# * DOS at the Fermi energy: 9.42 states/eV per cell
data_CeSn4
_cell_length_a 5.846
_cell_length_b 5.846
_cell_length_c 5.846
_cell_angle_alpha 90.00
_cell_angle_beta 90.00
_cell_angle_gamma 90.00
_symmetry_space_group_name_H-M 'P m -3 m'
_symmetry_Int_Tables_number 221
_symmetry_space_group_name_Hall '-P 4 2 3'
loop_
_atom_site_label
_atom_site_type_symbol
_atom_site_fract_x
_atom_site_fract_y
_atom_site_fract_z
Ce1 Ce 0.000 0.000 0.000
Sn1 Sn 0.000 0.000 0.500
Sn2 Sn 0.500 0.500 0.500

Arrangement x

# CeSn4 | Alexandria via LeMat-Bulk | PBE | optimized geometry
# * DOS at the Fermi energy: 23.40 states/eV per cell
data_CeSn4
_cell_length_a 4.637
_cell_length_b 6.527
_cell_length_c 17.988
_cell_angle_alpha 90.00
_cell_angle_beta 90.00
_cell_angle_gamma 90.00
_symmetry_space_group_name_H-M 'I m m a'
_symmetry_Int_Tables_number 74
_symmetry_space_group_name_Hall '-I 2b 2'
loop_
_atom_site_label
_atom_site_type_symbol
_atom_site_fract_x
_atom_site_fract_y
_atom_site_fract_z
Ce1 Ce 0.000 0.250 0.094
Sn1 Sn 0.000 0.000 0.500
Sn2 Sn 0.000 0.014 0.693
Sn3 Sn 0.000 0.250 0.904

It comes down to arrangement x, which is 97.8 kJ/mol of atoms more stable than the next structure.

Arrangement w

# TbCe2Sn3 | Alexandria via LeMat-Bulk | PBE | optimized geometry
# * DOS at the Fermi energy: 14.98 states/eV per cell
data_TbCe2Sn3
_cell_length_a 4.506
_cell_length_b 6.312
_cell_length_c 13.246
_cell_angle_alpha 90.00
_cell_angle_beta 90.00
_cell_angle_gamma 90.00
_symmetry_space_group_name_H-M 'I m m m'
_symmetry_Int_Tables_number 71
_symmetry_space_group_name_Hall '-I 2 2'
loop_
_atom_site_label
_atom_site_type_symbol
_atom_site_fract_x
_atom_site_fract_y
_atom_site_fract_z
Tb1 Tb 0.000 0.000 0.000
Ce1 Ce 0.000 0.000 0.334
Sn1 Sn 0.000 0.500 0.000
Sn2 Sn 0.000 0.500 0.332

Arrangement x

# TbCe2Sn3 | Alexandria via LeMat-Bulk | PBE | optimized geometry
# * DOS at the Fermi energy: 23.10 states/eV per cell
data_TbCe2Sn3
_cell_length_a 5.809
_cell_length_b 17.395
_cell_length_c 3.268
_cell_angle_alpha 90.00
_cell_angle_beta 90.00
_cell_angle_gamma 90.00
_symmetry_space_group_name_H-M 'C m m m'
_symmetry_Int_Tables_number 65
_symmetry_space_group_name_Hall '-C 2 2'
loop_
_atom_site_label
_atom_site_type_symbol
_atom_site_fract_x
_atom_site_fract_y
_atom_site_fract_z
Tb1 Tb 0.000 0.000 0.000
Ce1 Ce 0.000 0.334 0.000
Sn1 Sn 0.000 0.165 0.500
Sn2 Sn 0.000 0.500 0.500

It comes down to arrangement x, which is 11.6 kJ/mol of atoms more stable than the next structure.

Arrangement w

# TbCeTlSn | Alexandria via LeMat-Bulk | PBE | optimized geometry
# * DOS at the Fermi energy: 8.14 states/eV per cell
data_TbCeTlSn
_cell_length_a 4.007
_cell_length_b 4.007
_cell_length_c 7.024
_cell_angle_alpha 90.00
_cell_angle_beta 90.00
_cell_angle_gamma 90.00
_symmetry_space_group_name_H-M 'P 4 m m'
_symmetry_Int_Tables_number 99
loop_
_symmetry_equiv_pos_as_xyz
'x,y,z'
'-y,x,z'
'-x,-y,z'
'y,-x,z'
'-x,y,z'
'y,x,z'
'x,-y,z'
'-y,-x,z'
loop_
_atom_site_label
_atom_site_type_symbol
_atom_site_fract_x
_atom_site_fract_y
_atom_site_fract_z
Tb1 Tb 0.000 0.000 0.000
Ce1 Ce 0.000 0.000 0.521
Tl1 Tl 0.500 0.500 0.248
Sn1 Sn 0.500 0.500 0.773

Arrangement x

# TbCeTlSn | Alexandria via LeMat-Bulk | PBE | optimized geometry
# * DOS at the Fermi energy: 34.14 states/eV per cell
data_TbCeTlSn
_cell_length_a 7.675
_cell_length_b 7.675
_cell_length_c 7.675
_cell_angle_alpha 90.00
_cell_angle_beta 90.00
_cell_angle_gamma 90.00
_symmetry_space_group_name_H-M 'F -4 3 m'
_symmetry_Int_Tables_number 216
_symmetry_space_group_name_Hall 'F -4 2 3'
loop_
_atom_site_label
_atom_site_type_symbol
_atom_site_fract_x
_atom_site_fract_y
_atom_site_fract_z
Tb1 Tb 0.000 0.000 0.000
Ce1 Ce 0.000 0.000 0.500
Tl1 Tl 0.250 0.250 0.250
Sn1 Sn 0.250 0.250 0.750

It comes down to arrangement w, which is 1.2 kJ/mol of atoms more stable than the next structure.

Arrangement w

# Ce8Tc2Sn | Alexandria via LeMat-Bulk | PBE | optimized geometry
# * DOS at the Fermi energy: 48.73 states/eV per cell
data_Ce8Tc2Sn
_cell_length_a 5.317
_cell_length_b 16.428
_cell_length_c 6.427
_cell_angle_alpha 90.00
_cell_angle_beta 90.00
_cell_angle_gamma 90.00
_symmetry_space_group_name_H-M 'I m m 2'
_symmetry_Int_Tables_number 44
loop_
_symmetry_equiv_pos_as_xyz
'x,y,z'
'-x,-y,z'
'-x,y,z'
'x,-y,z'
'x+1/2,y+1/2,z+1/2'
'-x+1/2,-y+1/2,z+1/2'
'-x+1/2,y+1/2,z+1/2'
'x+1/2,-y+1/2,z+1/2'
loop_
_atom_site_label
_atom_site_type_symbol
_atom_site_fract_x
_atom_site_fract_y
_atom_site_fract_z
Ce1 Ce 0.000 0.000 0.000
Ce2 Ce 0.000 0.093 0.504
Ce3 Ce 0.000 0.272 0.187
Ce4 Ce 0.000 0.312 0.607
Ce5 Ce 0.000 0.500 0.306
Tc1 Tc 0.000 0.146 0.857
Sn1 Sn 0.000 0.500 0.808

Arrangement x

# Ce8Tc2Sn | Alexandria via LeMat-Bulk | PBE | optimized geometry
# * DOS at the Fermi energy: 56.30 states/eV per cell
data_Ce8Tc2Sn
_cell_length_a 8.455
_cell_length_b 13.369
_cell_length_c 5.222
_cell_angle_alpha 90.00
_cell_angle_beta 103.74
_cell_angle_gamma 90.00
_symmetry_space_group_name_H-M 'C 1 2/m 1'
_symmetry_Int_Tables_number 12
loop_
_symmetry_equiv_pos_as_xyz
'x,y,z'
'-x,-y,-z'
'-x,y,-z'
'x,-y,z'
'x+1/2,y+1/2,z'
'-x+1/2,-y+1/2,-z'
'-x+1/2,y+1/2,-z'
'x+1/2,-y+1/2,z'
loop_
_atom_site_label
_atom_site_type_symbol
_atom_site_fract_x
_atom_site_fract_y
_atom_site_fract_z
Ce1 Ce 0.000 0.248 0.000
Ce2 Ce 0.082 0.000 0.801
Ce3 Ce 0.199 0.391 0.562
Tc1 Tc 0.000 0.207 0.500
Sn1 Sn 0.000 0.500 0.000

It comes down to arrangement w, which is 4.4 kJ/mol of atoms more stable than the next structure.

Arrangement w

# CeTcSn | Alexandria via LeMat-Bulk | PBE | optimized geometry
# * DOS at the Fermi energy: 5.03 states/eV per cell
data_CeTcSn
_cell_length_a 4.6912
_cell_length_b 4.6912
_cell_length_c 3.6188
_cell_angle_alpha 90.00
_cell_angle_beta 90.00
_cell_angle_gamma 120.00
_symmetry_space_group_name_H-M 'P -6 m 2'
_symmetry_Int_Tables_number 187
_symmetry_space_group_name_Hall 'P -6 2'
loop_
_atom_site_label
_atom_site_type_symbol
_atom_site_fract_x
_atom_site_fract_y
_atom_site_fract_z
Ce1 Ce 0.0000 0.0000 0.0000
Tc1 Tc 0.6667 0.3333 0.5000
Sn1 Sn 0.3333 0.6667 0.5000

Arrangement x

# CeTcSn | Alexandria via LeMat-Bulk | PBE | optimized geometry
# * DOS at the Fermi energy: 8.41 states/eV per cell
data_CeTcSn
_cell_length_a 6.637
_cell_length_b 6.115
_cell_length_c 9.659
_cell_angle_alpha 90.00
_cell_angle_beta 131.67
_cell_angle_gamma 90.00
_symmetry_space_group_name_H-M 'P 1 21/c 1'
_symmetry_Int_Tables_number 14
loop_
_symmetry_equiv_pos_as_xyz
'x,y,z'
'-x,-y,-z'
'-x,y+1/2,-z+1/2'
'x,-y+1/2,z+1/2'
loop_
_atom_site_label
_atom_site_type_symbol
_atom_site_fract_x
_atom_site_fract_y
_atom_site_fract_z
Ce1 Ce 0.100 0.131 0.387
Tc1 Tc 0.126 0.139 0.157
Sn1 Sn 0.426 0.621 0.613

It comes down to arrangement x, which is 22.9 kJ/mol of atoms more stable than the next structure.